a:
DFT (GGA-PBE) results for an optimized crystal structure of Y3Fe5.

Cell: 5.742 5.742 4.588 Å, 90.00 90.00 111.10°
Atoms (fractional coordinates):
1 Fe 0.000 0.500 0.000
2 Fe 0.500 0.000 0.000
3 Y 0.500 0.500 0.000
4 Fe 0.000 0.000 0.000
5 Fe 0.192 0.192 0.500
6 Y 0.747 0.253 0.500
7 Fe 0.808 0.808 0.500
8 Y 0.253 0.747 0.500

=====

b:
DFT (GGA-PBE) results for an optimized crystal structure of Y3Fe5.

Cell: 6.100 7.909 7.375 Å, 101.75 116.85 72.22°
Atoms (fractional coordinates):
1 Y 0.257 0.138 0.434
2 Y 0.723 0.037 0.026
3 Fe 0.756 0.256 0.454
4 Fe 0.868 0.685 0.834
5 Y 0.326 0.790 0.008
6 Y 0.839 0.880 0.518
7 Fe 0.423 0.827 0.676
8 Fe 0.191 0.557 0.487
9 Fe 0.073 0.423 0.683
10 Fe 0.843 0.673 0.132
11 Y 0.648 0.405 0.806
12 Fe 0.140 0.128 0.764
13 Fe 0.618 0.590 0.474
14 Fe 0.198 0.778 0.320
15 Fe 0.829 0.436 0.270
16 Y 0.273 0.397 0.119

=====

Energies relative to the most stable structure, in meV/atom: a 196; b 0.